# 1
The following is a DFT calculation (PBE) of a geometry-optimized PuBeS structure.

abc: 4.031 3.732 7.452
angles: 75.50 90.00 90.00
Each line ends with the local moment (μB).
Fractional coordinates of all 6 atoms:
Be  0.750  0.472  0.057  -0.02
Be  0.250  0.528  0.943  -0.02
S  0.750  0.329  0.341  -0.11
S  0.250  0.671  0.659  -0.11
Pu  0.750  0.135  0.731  5.22
Pu  0.250  0.865  0.269  5.22

Values from the calculation:
- SG = No. 63

# 2
The following is a DFT calculation (PBE) of a geometry-optimized PuBeSb structure.

abc: 4.266 4.266 16.327
angles: 90.00 90.00 120.00
Each line ends with the local moment (μB).
Fractional coordinates of all 12 atoms:
Sb  0.333  0.667  0.876  -0.05
Sb  0.667  0.333  0.376  -0.05
Sb  0.667  0.333  0.124  -0.05
Sb  0.333  0.667  0.624  -0.05
Be  0.333  0.667  0.334  0.03
Be  0.667  0.333  0.834  0.03
Be  0.667  0.333  0.666  0.03
Be  0.333  0.667  0.166  0.03
Pu  0.000  0.000  0.000  5.56
Pu  0.000  0.000  0.500  5.56
Pu  0.000  0.000  0.250  5.35
Pu  0.000  0.000  0.750  5.35

Values from the calculation:
- SG = No. 194

Number 1: E_form (uncorrected) -910 meV/atom, VASP energy -49.83 eV per cell, total magnetic moment 10.82 Bohr magnetons per cell. Number 2: E_form (uncorrected) -295 meV/atom, VASP energy -92.27 eV per cell, total magnetic moment 23.70 Bohr magnetons per cell.